(1)
! ScGaFe2C | Alexandria | PBE | relaxed; values from VASP
! **Space-group type**: Cmcm (63)
! **Polymorph energy (0 for the lowest one)**: 0 meV/atom
! **Formation energy from the elements**: -0.246 eV per atom
&SYSTEM
  ibrav = 0, nat = 10, ntyp = 4
/
ATOMIC_SPECIES
C 12.01 C.upf
Ga 69.72 Ga.upf
Fe 55.84 Fe.upf
Sc 44.96 Sc.upf
CELL_PARAMETERS angstrom
-0.598 0.251 -3.300
2.190 -5.103 0.929
-6.612 -2.655 0.997
ATOMIC_POSITIONS crystal
C 0.000 0.000 0.500
C 0.000 0.000 0.000
Ga 0.256 0.511 0.250
Ga 0.744 0.489 0.750
Fe 0.840 0.680 0.051
Fe 0.160 0.320 0.949
Fe 0.160 0.320 0.551
Fe 0.840 0.680 0.449
Sc 0.532 0.063 0.250
Sc 0.468 0.937 0.750


(2)
! Er2CuPbS4 | Alexandria | PBE | relaxed; values from VASP
! **Space-group type**: Cmcm (63)
! **Final energy**: -5.490 eV/atom
&SYSTEM
  ibrav = 0, nat = 16, ntyp = 4
/
ATOMIC_SPECIES
Cu 63.55 Cu.upf
S 32.06 S.upf
Er 167.26 Er.upf
Pb 207.20 Pb.upf
CELL_PARAMETERS angstrom
3.862 0.000 0.000
-1.931 6.539 0.000
0.000 0.000 13.697
ATOMIC_POSITIONS crystal
Cu 0.163 0.326 0.250
Cu 0.837 0.674 0.750
S 0.728 0.457 0.614
S 0.441 0.883 0.750
S 0.728 0.457 0.886
S 0.272 0.543 0.386
S 0.000 0.000 0.500
S 0.559 0.117 0.250
S 0.272 0.543 0.114
S 0.000 0.000 0.000
Er 0.370 0.739 0.938
Er 0.370 0.739 0.562
Er 0.630 0.261 0.062
Er 0.630 0.261 0.438
Pb 0.880 0.760 0.250
Pb 0.120 0.240 0.750


(3)
! Na3Sn2Hg4 | Alexandria | PBE | relaxed; values from VASP
! **Space-group type**: Cccm (66)
! **Polymorph energy (0 for the lowest one)**: 4 meV/atom
! **Formation energy from the elements**: -0.193 eV per atom
&SYSTEM
  ibrav = 0, nat = 18, ntyp = 3
/
ATOMIC_SPECIES
Na 22.99 Na.upf
Hg 200.59 Hg.upf
Sn 118.71 Sn.upf
CELL_PARAMETERS angstrom
-1.537 -2.847 5.948
0.564 -8.058 -3.709
7.790 -4.279 -0.033
ATOMIC_POSITIONS crystal
Na 0.250 0.838 0.838
Na 0.750 0.500 0.500
Na 0.750 0.162 0.162
Na 0.750 0.838 0.838
Na 0.250 0.500 0.500
Na 0.250 0.162 0.162
Hg 0.000 0.165 0.500
Hg 0.500 0.500 0.165
Hg 0.500 0.500 0.835
Hg 0.000 0.835 0.167
Hg 0.000 0.165 0.833
Hg 0.500 0.833 0.165
Hg 0.000 0.835 0.500
Hg 0.500 0.167 0.835
Sn 0.500 0.165 0.500
Sn 0.000 0.500 0.165
Sn 0.000 0.500 0.835
Sn 0.500 0.835 0.500